No. 1
Material: BaPm3I8
Method: DFT, GGA-PBE
State: relaxed

extended XYZ file:
```
12
Lattice="7.515 0.000 4.056 2.662 7.027 4.056 -0.422 -0.291 9.770" Properties=species:S:1:pos:R:3 pbc="T T T"
Ba 4.878 3.368 8.941
I 6.302 1.631 6.302
I 2.474 1.708 4.406
I 5.997 1.420 11.581
Pm 5.088 3.514 4.056
I 7.281 5.028 13.477
I 7.699 5.316 8.429
Pm 1.331 3.514 2.028
I 2.056 1.420 9.454
I 3.758 5.316 6.302
I 3.453 5.105 11.581
Pm 3.757 0.000 2.028
```


No. 2
Material: BaPmTlI6
Method: DFT, GGA-PBE
State: relaxed

extended XYZ file:
```
18
Lattice="-0.382 7.064 4.761 0.861 -7.617 3.735 14.717 1.299 -0.746" Properties=species:S:1:pos:R:3 pbc="T T T"
I 13.033 0.702 2.360
Pm 11.485 -1.749 3.518
I 13.399 -3.666 1.965
I 5.259 4.901 2.982
Tl 0.000 0.000 0.000
I 9.937 -4.155 4.768
I 9.542 -1.795 1.075
I 5.635 0.521 2.766
Ba 4.126 -2.399 3.890
I 2.164 0.044 5.390
Tl 7.359 0.649 -0.373
I 9.562 0.225 4.984
I 1.760 2.552 1.796
Pm 3.712 2.495 4.232
I 13.436 -1.806 5.954
I 5.654 2.541 6.676
Ba 11.070 3.144 3.860
I 1.798 4.412 5.785
```


| no. | total DFT energy (no corrections) (eV per formula unit) | total moment (μB/f.u.) | ΔE_f (raw) (meV per atom) |
| --- | --- | --- | --- |
| 1 | -45.0 | 0.0 | -1367.4 |
| 2 | -30.6 | 0.0 | -1358.6 |